Compound: Ta2CrAs
Source: the Alexandria database
Functional: PBE
Structure: optimized geometry

Geometry as CIF:
```
data_Ta2CrAs
_cell_length_a 3.476
_cell_length_b 4.171
_cell_length_c 4.413
_cell_angle_alpha 90.00
_cell_angle_beta 90.00
_cell_angle_gamma 90.00
_space_group_name_H-M_alt 'P m m m'
_space_group_IT_number 47
loop_
_space_group_symop_operation_xyz
'x,y,z'
'-x,-y,-z'
'-x,-y,z'
'x,y,-z'
'x,-y,-z'
'-x,y,z'
'-x,y,-z'
'x,-y,z'
loop_
_atom_site_label
_atom_site_type_symbol
_atom_site_fract_x
_atom_site_fract_y
_atom_site_fract_z
Ta1 Ta 0.000 0.000 0.000
Ta2 Ta 0.500 0.000 0.500
Cr1 Cr 0.000 0.500 0.500
As1 As 0.500 0.500 0.000
```

Calculated values
The calculation puts the density of states at the Fermi level at 0.83 states/eV per atom. Its formation energy from the elements is 4 meV per atom. As for the final energy: -37.96 eV/f.u.